# PmSmCl4 | Alexandria | PBE | relaxed
data_PmSmCl4
_chemical_formula_sum 'Pm2 Sm2 Cl8'
_symmetry_space_group_name_H-M 'I -4 m 2'
_symmetry_Int_Tables_number 119
_symmetry_space_group_name_Hall 'I -4 -2'
_cell_length_a 5.5232
_cell_length_b 5.5232
_cell_length_c 10.9580
_cell_angle_alpha 90.00
_cell_angle_beta 90.00
_cell_angle_gamma 90.00
loop_
_atom_site_label
_atom_site_type_symbol
_atom_site_fract_x
_atom_site_fract_y
_atom_site_fract_z
Pm1 Pm 0.0000 0.0000 0.0000
Sm1 Sm 0.0000 0.5000 0.2500
Cl1 Cl 0.0000 0.0000 0.2601
Cl2 Cl 0.0000 0.5000 0.5087
# V in Å³/atom: 27.9
# Crystal system: tetragonal
# Total energy in eV per atom: -4.750
# Total moment in μB/cell: 0.0
# Formation energy (no corrections) in eV/atom: -1.941

=====

# Sr2ScCu | Alexandria | PBE | relaxed
data_Sr2ScCu
_chemical_formula_sum 'Sr4 Sc2 Cu2'
_symmetry_space_group_name_H-M 'A m m 2'
_symmetry_Int_Tables_number 38
_symmetry_space_group_name_Hall 'A 2 -2'
_cell_length_a 3.8965
_cell_length_b 5.3901
_cell_length_c 12.8705
_cell_angle_alpha 90.00
_cell_angle_beta 90.00
_cell_angle_gamma 90.00
loop_
_atom_site_label
_atom_site_type_symbol
_atom_site_fract_x
_atom_site_fract_y
_atom_site_fract_z
Sr1 Sr 0.0000 0.0000 0.0000
Sr2 Sr 0.5000 0.0000 0.3009
Sc1 Sc 0.5000 0.0000 0.6192
Cu1 Cu 0.0000 0.0000 0.7560
# Formation energy in eV/atom: 0.156
# V in Å³/atom: 33.8
# Crystal system: orthorhombic
# Total energy in eV per atom: -3.292
# Total moment in μB/cell: 0.0
# Energy relative to the lowest polymorph listed for this composition in eV/atom: 0.083

=====

# Zn2GaGe2 | Alexandria | PBE | relaxed
data_Zn2GaGe2
_chemical_formula_sum 'Zn4 Ga2 Ge4'
_symmetry_space_group_name_H-M 'I 4/m m m'
_symmetry_Int_Tables_number 139
_symmetry_space_group_name_Hall '-I 4 2'
_cell_length_a 4.2608
_cell_length_b 4.2608
_cell_length_c 10.8317
_cell_angle_alpha 90.00
_cell_angle_beta 90.00
_cell_angle_gamma 90.00
loop_
_atom_site_label
_atom_site_type_symbol
_atom_site_fract_x
_atom_site_fract_y
_atom_site_fract_z
Zn1 Zn 0.0000 0.5000 0.2500
Ga1 Ga 0.0000 0.0000 0.0000
Ge1 Ge 0.0000 0.0000 0.3864
# Formation energy in eV/atom: 0.146
# V in Å³/atom: 19.7
# Crystal system: tetragonal
# Total energy in eV per atom: -2.816
# Total moment in μB/cell: 0.0
# Energy relative to the lowest polymorph listed for this composition in eV/atom: 0.000

=====

# Sb2MoBr | Alexandria | PBE | relaxed
data_Sb2MoBr
_chemical_formula_sum 'Sb2 Mo1 Br1'
_symmetry_space_group_name_H-M 'P 4/m m m'
_symmetry_Int_Tables_number 123
_symmetry_space_group_name_Hall '-P 4 2'
_cell_length_a 4.2286
_cell_length_b 4.2286
_cell_length_c 5.5286
_cell_angle_alpha 90.00
_cell_angle_beta 90.00
_cell_angle_gamma 90.00
loop_
_atom_site_label
_atom_site_type_symbol
_atom_site_fract_x
_atom_site_fract_y
_atom_site_fract_z
Sb1 Sb 0.0000 0.5000 0.0000
Mo1 Mo 0.0000 0.0000 0.5000
Br1 Br 0.5000 0.5000 0.5000
# V in Å³/atom: 24.7
# Crystal system: tetragonal
# Total energy in eV per atom: -4.442
# Total moment in μB/cell: 2.9
# Energy relative to the lowest polymorph listed for this composition in eV/atom: 0.669
# Formation energy (no corrections) in eV/atom: 0.745

=====

# PaCrInTc | Alexandria | PBE | relaxed
data_PaCrInTc
_chemical_formula_sum 'Pa4 Cr4 In4 Tc4'
_symmetry_space_group_name_H-M 'F -4 3 m'
_symmetry_Int_Tables_number 216
_symmetry_space_group_name_Hall 'F -4 2 3'
_cell_length_a 6.6870
_cell_length_b 6.6870
_cell_length_c 6.6870
_cell_angle_alpha 90.00
_cell_angle_beta 90.00
_cell_angle_gamma 90.00
loop_
_atom_site_label
_atom_site_type_symbol
_atom_site_fract_x
_atom_site_fract_y
_atom_site_fract_z
Pa1 Pa 0.0000 0.0000 0.0000
Cr1 Cr 0.2500 0.2500 0.2500
In1 In 0.0000 0.0000 0.5000
Tc1 Tc 0.2500 0.2500 0.7500
# Formation energy in eV/atom: 0.037
# V in Å³/atom: 18.7
# Crystal system: cubic
# Total energy in eV per atom: -8.019
# Total moment in μB/cell: 10.9

=====

# Ba3YB9O18 | Alexandria | PBE | relaxed
data_Ba3YB9O18
_chemical_formula_sum 'Ba6 Y2 B18 O36'
_symmetry_space_group_name_H-M 'P 63/m'
_symmetry_Int_Tables_number 176
_symmetry_space_group_name_Hall '-P 6c'
_cell_length_a 7.2801
_cell_length_b 7.2801
_cell_length_c 17.4192
_cell_angle_alpha 90.00
_cell_angle_beta 90.00
_cell_angle_gamma 120.00
loop_
_atom_site_label
_atom_site_type_symbol
_atom_site_fract_x
_atom_site_fract_y
_atom_site_fract_z
Ba1 Ba 0.0000 0.0000 0.2500
Ba2 Ba 0.3333 0.6667 0.1317
Y1 Y 0.0000 0.0000 0.0000
B1 B 0.1172 0.4957 0.7500
B2 B 0.1651 0.7153 0.5821
O1 O 0.0047 0.7543 0.5812
O2 O 0.0804 0.6667 0.2500
O3 O 0.1235 0.5036 0.5822
O4 O 0.1676 0.7095 0.7500
# V in Å³/atom: 12.9
# Crystal system: hexagonal
# Total energy in eV per atom: -7.936
# Total moment in μB/cell: 0.0
# Formation energy (no corrections) in eV/atom: -2.723